Compound: Li2MnP2O7
Source: the Alexandria database
Functional: PBE with a Hubbard U
Structure: optimized geometry

Lattice parameters (Å, degrees): 8.9316 5.1564 13.6784 90.00 102.58 90.00
Closest atoms and distances in Å follow each position.
Space group C2/c (No. 15)
Symmetry-distinct sites (fractional):
Li 0.1193 0.2495 0.1076 (multiplicity 8)  3 O 1.91
Mn 0.2500 0.2500 0.5000 (multiplicity 4)  6 O 2.23
P 0.0399 0.2501 0.8696 (multiplicity 8)  4 O 1.53-1.60
O 0.0000 0.2475 0.7500 (multiplicity 4)  2 P 1.60
O 0.0579 0.0352 0.4023 (multiplicity 8)  1 P 1.54
O 0.0958 0.3824 0.5984 (multiplicity 8)  1 P 1.54
O 0.1895 0.4036 0.9017 (multiplicity 8)  1 P 1.53

Values from the calculation:
E = -0.5123 Ry/atom